w) VASP calculation (PBE) on BaCd4Au2 after structural relaxation.

Properties
V in Å³/atom: 24.86
Total magnetic moment in μB per atom: 0.000

Lattice parameters (Å, degrees): 8.7627 8.7627 4.5320 90.00 90.00 90.00
Closest atoms and distances in Å follow each position.
Space group P4_2/mnm (No. 136)
Inequivalent atoms, fractional coordinates:
Ba 0.0000 0.0000 0.0000 x2  6 Au 3.47-3.56, 12 Cd 3.84-3.87
Cd 0.0877 0.3433 0.5000 x8  3 Au 2.87-2.91, 6 Cd 3.15-3.18
Au 0.2125 0.7875 0.5000 x4  6 Cd 2.87-2.91



x) VASP calculation (PBE) on BaCd4Au2 after structural relaxation.

Properties
V in Å³/atom: 25.41
Total magnetic moment in μB per atom: 0.000

Lattice parameters (Å, degrees): 4.5922 17.1551 4.5163 90.00 90.00 90.00
Closest atoms and distances in Å follow each position.
Space group Cmmm (No. 65)
Inequivalent atoms, fractional coordinates:
Ba 0.0000 0.0000 0.0000 x2  8 Au 3.51, 4 Cd 3.88
Cd 0.0000 0.1836 0.5000 x4  2 Au 2.89, 8 Cd 3.16-3.23
Cd 0.0000 0.3129 0.0000 x4  2 Au 2.90, 8 Cd 3.15-3.22
Au 0.0000 0.4187 0.5000 x4  1 Au 2.79, 4 Cd 2.89-2.90



Most stable structure, least stable structure: w), x).



w) VASP calculation (PBE) on Ba3CdAu after structural relaxation.

Properties
V in Å³/atom: 51.69
Total magnetic moment in μB per atom: 0.000

Lattice parameters (Å, degrees): 6.3698 6.3698 6.3698 90.00 90.00 90.00
Closest atoms and distances in Å follow each position.
Space group Pm-3m (No. 221)
Inequivalent atoms, fractional coordinates:
Ba 0.0000 0.0000 0.5000 x3  2 Au 3.18
Cd 0.5000 0.5000 0.5000 x1  12 Ba 4.50
Au 0.0000 0.0000 0.0000 x1  6 Ba 3.18



x) VASP calculation (PBE) on Ba3CdAu after structural relaxation.

Properties
V in Å³/atom: 44.13
Total magnetic moment in μB per atom: 0.000

Lattice parameters (Å, degrees): 15.4614 12.7780 8.9343 90.00 90.04 90.00
Closest atoms and distances in Å follow each position.
Space group C2/c (No. 15)
Inequivalent atoms, fractional coordinates:
Ba 0.1052 0.0812 0.4061 x8  2 Au 3.39-3.43, 2 Cd 3.68-3.78
Ba 0.1049 0.4182 0.5940 x8  2 Au 3.38-3.44, 2 Cd 3.67-3.78
Ba 0.2504 0.1826 0.7989 x8  3 Au 3.35-3.44
Cd 0.0000 0.1747 0.7500 x4  8 Ba 3.68-3.91
Cd 0.0000 0.3248 0.2500 x4  8 Ba 3.67-3.92
Au 0.2502 0.0532 0.1249 x8  7 Ba 3.35-3.44



y) VASP calculation (PBE) on Ba3CdAu after structural relaxation.

Properties
V in Å³/atom: 43.71
Total magnetic moment in μB per atom: 0.000

Lattice parameters (Å, degrees): 24.0636 4.5443 8.0321 90.00 95.58 90.00
Closest atoms and distances in Å follow each position.
Space group C2/m (No. 12)
Inequivalent atoms, fractional coordinates:
Ba 0.0121 0.0000 0.2350 x4  4 Au 3.41-3.45, 1 Ba 3.76
Ba 0.1334 0.5000 0.6097 x4  1 Au 3.47, 3 Cd 3.50-3.65
Ba 0.1754 0.0000 0.0825 x4  2 Au 3.40, 2 Cd 3.66
Cd 0.2447 0.0000 0.6277 x4  2 Cd 3.09
Au 0.0721 0.5000 0.9837 x4  7 Ba 3.40-3.47, 1 Au 3.50



Most stable structure, least stable structure: y), w).



w) VASP calculation (PBE) on BaCdHg2Au after structural relaxation.

Properties
V in Å³/atom: 31.52
Total magnetic moment in μB per atom: 0.000

Lattice parameters (Å, degrees): 5.4318 5.4318 5.3418 90.00 90.00 90.00
Closest atoms and distances in Å follow each position.
Space group P4/mmm (No. 123)
Inequivalent atoms, fractional coordinates:
Ba 0.0000 0.0000 0.0000 x1  8 Hg 3.81, 4 Cd 3.84
Cd 0.5000 0.5000 0.0000 x1  2 Au 2.67
Hg 0.0000 0.5000 0.5000 x2  2 Au 2.72
Au 0.5000 0.5000 0.5000 x1  2 Cd 2.67, 4 Hg 2.72



x) VASP calculation (PBE) on BaCdHg2Au after structural relaxation.

Properties
V in Å³/atom: 28.29
Total magnetic moment in μB per atom: 0.000

Lattice parameters (Å, degrees): 4.6122 4.6781 13.1097 90.00 90.00 90.00
Closest atoms and distances in Å follow each position.
Space group Imm2 (No. 44)
Inequivalent atoms, fractional coordinates:
Ba 0.0000 0.0000 0.0000 x2  4 Au 3.54, 6 Hg 3.63-3.86, 2 Cd 3.89
Cd 0.0000 0.5000 0.7626 x2  2 Au 2.92, 2 Hg 3.02
Hg 0.0000 0.0000 0.6170 x2  1 Au 2.86, 2 Hg 3.01, 2 Cd 3.02
Hg 0.0000 0.5000 0.2641 x2  2 Au 2.93, 2 Hg 3.01
Au 0.0000 0.0000 0.3990 x2  3 Hg 2.86-2.93, 2 Cd 2.92



Most stable structure, least stable structure: x), w).



w) VASP calculation (PBE) on BaCdHgAu after structural relaxation.

Properties
V in Å³/atom: 28.82
Total magnetic moment in μB per atom: 0.000

Lattice parameters (Å, degrees): 7.7256 7.7256 7.7256 90.00 90.00 90.00
Closest atoms and distances in Å follow each position.
Space group F-43m (No. 216)
Inequivalent atoms, fractional coordinates:
Ba 0.0000 0.0000 0.0000 x4  4 Hg 3.35, 4 Au 3.35
Cd 0.0000 0.0000 0.5000 x4  4 Hg 3.35, 4 Au 3.35
Hg 0.2500 0.2500 0.2500 x4  4 Cd 3.35, 4 Ba 3.35
Au 0.2500 0.2500 0.7500 x4  4 Cd 3.35, 4 Ba 3.35



x) VASP calculation (PBE) on BaCdHgAu after structural relaxation.

Properties
V in Å³/atom: 29.69
Total magnetic moment in μB per atom: 0.000

Lattice parameters (Å, degrees): 8.6622 5.0142 6.1916 90.00 117.98 90.00
Closest atoms and distances in Å follow each position.
Space group Cm (No. 8)
Inequivalent atoms, fractional coordinates:
Ba 0.0000 0.0000 0.0000 x2  4 Au 3.44-3.53, 4 Hg 3.50, 3 Cd 3.68-3.69
Cd 0.0266 0.5000 0.5808 x2  3 Au 2.90, 3 Hg 3.13
Hg 0.2864 0.5000 0.3600 x2  3 Cd 3.13, 3 Au 3.24-3.25, 4 Ba 3.50
Au 0.2093 0.0000 0.6294 x2  3 Cd 2.90, 3 Hg 3.24-3.25



Most stable structure, least stable structure: x), w).



w) VASP calculation (PBE) on Ba2NaCdAu after structural relaxation.

Properties
V in Å³/atom: 44.30
Total magnetic moment in μB per atom: 0.000

Lattice parameters (Å, degrees): 6.3359 6.3359 5.5175 90.00 90.00 90.00
Closest atoms and distances in Å follow each position.
Space group P4/mmm (No. 123)
Inequivalent atoms, fractional coordinates:
Ba 0.0000 0.5000 0.0000 x2  2 Au 3.17
Na 0.0000 0.0000 0.5000 x1  2 Au 2.76
Cd 0.5000 0.5000 0.5000 x1  8 Ba 4.20, 4 Na 4.48
Au 0.0000 0.0000 0.0000 x1  2 Na 2.76



x) VASP calculation (PBE) on Ba2NaCdAu after structural relaxation.

Properties
V in Å³/atom: 44.39
Total magnetic moment in μB per atom: 0.000

Lattice parameters (Å, degrees): 6.4062 6.4062 5.4087 90.00 90.00 90.00
Closest atoms and distances in Å follow each position.
Space group P4/mmm (No. 123)
Inequivalent atoms, fractional coordinates:
Ba 0.0000 0.5000 0.0000 x2  2 Au 3.20
Na 0.0000 0.0000 0.5000 x1  8 Ba 4.19, 4 Cd 4.53
Cd 0.5000 0.5000 0.5000 x1  2 Au 2.70
Au 0.5000 0.5000 0.0000 x1  2 Cd 2.70



Most stable structure, least stable structure: x), w).



w) VASP calculation (PBE) on Ba2CdPtAu after structural relaxation.

Properties
V in Å³/atom: 30.88
Total magnetic moment in μB per atom: 0.000

Lattice parameters (Å, degrees): 8.2469 4.7131 8.6458 90.00 113.24 90.00
Closest atoms and distances in Å follow each position.
Space group P2_1/m (No. 11)
Inequivalent atoms, fractional coordinates:
Ba 0.0408 0.2500 0.2093 x2  3 Pt 3.25-3.26, 3 Au 3.45-3.53
Ba 0.3586 0.7500 0.6208 x2  3 Pt 3.24-3.36, 2 Au 3.44
Cd 0.3386 0.2500 0.9365 x2  1 Pt 2.85, 3 Au 3.05-3.11
Pt 0.0809 0.2500 0.5999 x2  1 Cd 2.85, 2 Pt 2.92
Au 0.3341 0.7500 0.1580 x2  3 Cd 3.05-3.11



x) VASP calculation (PBE) on Ba2CdPtAu after structural relaxation.

Properties
V in Å³/atom: 38.09
Total magnetic moment in μB per atom: 0.000

Lattice parameters (Å, degrees): 6.0467 6.0467 5.2083 90.00 90.00 90.00
Closest atoms and distances in Å follow each position.
Space group P4/mmm (No. 123)
Inequivalent atoms, fractional coordinates:
Ba 0.0000 0.5000 0.0000 x2  2 Pt 3.02
Cd 0.0000 0.0000 0.5000 x1  2 Pt 2.60
Pt 0.0000 0.0000 0.0000 x1  2 Cd 2.60
Au 0.5000 0.5000 0.5000 x1  8 Ba 3.99, 4 Cd 4.28



Most stable structure, least stable structure: w), x).